Below is a relaxed Li3Pu2PaSe6 crystal, with properties calculated at the GGA-PBE level.

a = 7.1309 Å, b = 7.1309 Å, c = 6.9002 Å
α = 99.92°, β = 99.92°, γ = 120.00°
Last column: nearest neighbours and their distance in Å.
Element x y z (fractional)
Li: 0.0000 0.0000 0.0000  6 Se 2.82-2.90
Li: 0.3341 0.6659 0.0000  6 Se 2.82-2.90
Li: 0.6659 0.3341 0.0000  6 Se 2.82-2.90
Pu: 0.1670 0.8330 0.5000  6 Se 2.92-2.93
Pu: 0.8330 0.1670 0.5000  6 Se 2.92-2.93
Pa: 0.5000 0.5000 0.5000  6 Se 2.85-2.86
Se: 0.0886 0.4139 0.2419  3 Li 2.82-2.90, 1 Pa 2.86, 2 Pu 2.93
Se: 0.2593 0.2593 0.7552  3 Li 2.83-2.90, 1 Pa 2.85, 2 Pu 2.92
Se: 0.4139 0.0886 0.2419  3 Li 2.82-2.90, 1 Pa 2.86, 2 Pu 2.93
Se: 0.5861 0.9114 0.7581  3 Li 2.82-2.90, 1 Pa 2.86, 2 Pu 2.93
Se: 0.7407 0.7407 0.2448  3 Li 2.83-2.90, 1 Pa 2.85, 2 Pu 2.92
Se: 0.9114 0.5861 0.7581  3 Li 2.82-2.90, 1 Pa 2.86, 2 Pu 2.93

Summary:
**Formation energy from raw total energies**: -1.3938 eV/atom
**Total DFT energy (no corrections)**: -81.5 eV per cell
**SG**: C2/m
**Theoretical density**: 7.1 g/cm3
**M_tot**: 12.000 μB/f.u.